# PBE LiSmTh2As4, relaxed
# * final energy: -6.19 eV/atom
# * ΔH_f (0 K): -9.5 eV per formula unit
# * volume: 213.54 Å³ per cell
data_LiSmTh2As4
_chemical_formula_sum 'Li1 Sm1 Th2 As4'
_symmetry_space_group_name_H-M 'P 1 2/m 1'
_symmetry_Int_Tables_number 10
_symmetry_space_group_name_Hall '-P 2y'
_cell_length_a 7.2042
_cell_length_b 4.2745
_cell_length_c 7.3657
_cell_angle_alpha 90.00
_cell_angle_beta 109.71
_cell_angle_gamma 90.00
loop_
_atom_site_label
_atom_site_fract_x
_atom_site_fract_y
_atom_site_fract_z
Li1 0.0000 0.0000 0.0000
Sm1 0.0000 0.5000 0.5000
Th1 0.5000 0.0000 0.5000
Th2 0.5000 0.5000 0.0000
As1 0.2486 0.0000 0.7519
As2 0.2547 0.5000 0.2514